Record 1
The following is a PBE-GGA calculation of a geometry-optimized ZnPdPt2 structure, from Alexandria via LeMat-Bulk.

Cell lengths 5.471, 4.011, 5.542 Å; angles 90.00, 94.27, 90.00 degrees
Fractional positions:
Zn 0.146 0.250 0.358
Zn 0.854 0.750 0.642
Pd 0.355 0.750 0.614
Pd 0.645 0.250 0.386
Pt 0.114 0.250 0.856
Pt 0.382 0.750 0.118
Pt 0.618 0.250 0.882
Pt 0.886 0.750 0.144

Output
N(E_F) in states/eV/f.u.: 4.4
Energy in eV per cell: -39.59
Formation enthalpy at 0 K in kJ/mol of atoms: -30
Spin magnetization in μB per formula unit: 0.0
Symmetry: P2_1/m, No. 11

---

Record 2
The following is a PBE-GGA calculation of a geometry-optimized SrLiBeIn2 structure, from Alexandria via LeMat-Bulk.

Cell lengths 6.256, 6.256, 5.516 Å; angles 90.00, 90.00, 90.00 degrees
Fractional positions:
Sr 0.000 0.000 0.000
Li 0.500 0.500 0.500
Be 0.000 0.000 0.500
In 0.000 0.500 0.000
In 0.500 0.000 0.000

Output
N(E_F) in states/eV/f.u.: 4.1
Energy in eV per cell: -7.62
Formation enthalpy at 0 K in kJ/mol of atoms: 100
Spin magnetization in μB per formula unit: 0.0
Symmetry: P4/mmm, No. 123

---

Record 3
The following is a PBE-GGA calculation of a geometry-optimized RbLi2TmCl6 structure, from Alexandria via LeMat-Bulk.

Cell lengths 8.790, 8.790, 8.790 Å; angles 43.85, 43.85, 43.85 degrees
Fractional positions:
Rb 0.000 0.000 0.000
Li 0.172 0.172 0.172
Li 0.828 0.828 0.828
Tm 0.500 0.500 0.500
Cl 0.108 0.772 0.439
Cl 0.228 0.561 0.892
Cl 0.439 0.108 0.772
Cl 0.561 0.892 0.228
Cl 0.772 0.439 0.108
Cl 0.892 0.228 0.561

Output
N(E_F) in states/eV/f.u.: 0.0
Energy relative to the elements, uncorrected in eV/atom: -2.0586
Energy in eV per cell: -40.93
Spin magnetization in μB per formula unit: 0.0
Symmetry: R-3, No. 148

---

Record 4
The following is a PBE-GGA calculation of a geometry-optimized CaZn4Pt structure, from Alexandria via LeMat-Bulk.

Cell lengths 7.060, 7.060, 7.079 Å; angles 90.00, 90.00, 139.53 degrees
Fractional positions:
Ca 0.115 0.885 0.750
Ca 0.885 0.115 0.250
Zn 0.108 0.892 0.250
Zn 0.285 0.715 0.076
Zn 0.285 0.715 0.424
Zn 0.500 0.500 0.000
Zn 0.500 0.500 0.500
Zn 0.715 0.285 0.576
Zn 0.715 0.285 0.924
Zn 0.892 0.108 0.750
Pt 0.362 0.638 0.750
Pt 0.638 0.362 0.250

Output
N(E_F) in states/eV/f.u.: 1.8
Relative energy among the computed polymorphs in meV per atom: 113
Energy in eV per cell: -29.86
Formation enthalpy at 0 K in kJ/mol of atoms: -29
Spin magnetization in μB per formula unit: 0.0
Symmetry: Cmcm, No. 63

---

Record 5
The following is a PBE-GGA calculation of a geometry-optimized As2PdRu2 structure, from Alexandria via LeMat-Bulk.

Cell lengths 7.156, 7.156, 2.930 Å; angles 90.00, 90.00, 90.00 degrees
Fractional positions:
As 0.153 0.347 0.000
As 0.347 0.847 0.000
As 0.653 0.153 0.000
As 0.847 0.653 0.000
Pd 0.000 0.000 0.000
Pd 0.500 0.500 0.000
Ru 0.143 0.643 0.500
Ru 0.357 0.143 0.500
Ru 0.643 0.857 0.500
Ru 0.857 0.357 0.500

Output
N(E_F) in states/eV/f.u.: 3.4
Relative energy among the computed polymorphs in meV per atom: 4
Energy in eV per cell: -66.97
Formation enthalpy at 0 K in kJ/mol of atoms: -9
Spin magnetization in μB per formula unit: 0.0
Symmetry: P4/mbm, No. 127

---

Record 6
The following is a PBE-GGA calculation of a geometry-optimized RbTmZnO3 structure, from Alexandria via LeMat-Bulk.

Cell lengths 7.814, 3.499, 8.384 Å; angles 90.00, 107.98, 90.00 degrees
Fractional positions:
Rb 0.207 0.250 0.219
Rb 0.793 0.750 0.781
Tm 0.342 0.750 0.861
Tm 0.658 0.250 0.139
Zn 0.080 0.250 0.616
Zn 0.920 0.750 0.384
O 0.151 0.250 0.858
O 0.174 0.750 0.554
O 0.471 0.750 0.130
O 0.529 0.250 0.870
O 0.826 0.250 0.446
O 0.849 0.750 0.142

Output
N(E_F) in states/eV/f.u.: 0.0
Energy relative to the elements, uncorrected in eV/atom: -2.2505
Energy in eV per cell: -70.18
Spin magnetization in μB per formula unit: 0.0
Symmetry: P2_1/m, No. 11

---

Record 7
The following is a PBE-GGA calculation of a geometry-optimized Ta2BeCu structure, from Alexandria via LeMat-Bulk.

Cell lengths 3.983, 3.983, 7.297 Å; angles 90.00, 90.00, 90.00 degrees
Fractional positions:
Ta 0.000 0.500 0.250
Ta 0.000 0.500 0.750
Ta 0.500 0.000 0.250
Ta 0.500 0.000 0.750
Be 0.000 0.000 0.000
Be 0.500 0.500 0.500
Cu 0.000 0.000 0.500
Cu 0.500 0.500 0.000

Output
N(E_F) in states/eV/f.u.: 3.4
Energy in eV per cell: -62.30
Formation enthalpy at 0 K in kJ/mol of atoms: 9
Spin magnetization in μB per formula unit: 0.0
Symmetry: I4/mmm, No. 139

---

Record 8
The following is a PBE-GGA calculation of a geometry-optimized Cs2Br structure, from Alexandria via LeMat-Bulk.

Cell lengths 6.476, 6.475, 9.522 Å; angles 90.00, 109.68, 90.00 degrees
Fractional positions:
Cs 0.116 0.000 0.237
Cs 0.384 0.500 0.763
Cs 0.616 0.500 0.237
Cs 0.884 0.000 0.763
Br 0.000 0.500 0.000
Br 0.500 0.000 0.000

Output
N(E_F) in states/eV/f.u.: 1.1
Energy relative to the elements, uncorrected in eV/atom: -1.1080
Relative energy among the computed polymorphs in meV per atom: 32
Energy in eV per cell: -13.41
Spin magnetization in μB per formula unit: 0.0
Symmetry: C2/m, No. 12